1) Compound: InBW3
Source: Alexandria
Functional: PBE
Structure: optimized geometry

Size of the total moment = 0.0 μB per cell

CIF file:
```
data_InBW3
_chemical_formula_sum 'In1 B1 W3'
_cell_length_a 4.277
_cell_length_b 4.277
_cell_length_c 4.277
_cell_angle_alpha 90.00
_cell_angle_beta 90.00
_cell_angle_gamma 90.00
_symmetry_space_group_name_H-M 'P m -3 m'
_symmetry_Int_Tables_number 221
_symmetry_space_group_name_Hall '-P 4 2 3'
loop_
_atom_site_label
_atom_site_type_symbol
_atom_site_fract_x
_atom_site_fract_y
_atom_site_fract_z
In1 In 0.000 0.000 0.000
B1 B 0.500 0.500 0.500
W1 W 0.000 0.500 0.500
```

2) Compound: InBW3
Source: Alexandria
Functional: PBE
Structure: optimized geometry

Size of the total moment = 0.0 μB per cell

CIF file:
```
data_InBW3
_chemical_formula_sum 'In1 B1 W3'
_cell_length_a 4.863
_cell_length_b 4.863
_cell_length_c 4.863
_cell_angle_alpha 90.00
_cell_angle_beta 90.00
_cell_angle_gamma 90.00
_symmetry_space_group_name_H-M 'P m -3 m'
_symmetry_Int_Tables_number 221
_symmetry_space_group_name_Hall '-P 4 2 3'
loop_
_atom_site_label
_atom_site_type_symbol
_atom_site_fract_x
_atom_site_fract_y
_atom_site_fract_z
In1 In 0.000 0.000 0.000
B1 B 0.500 0.500 0.500
W1 W 0.000 0.000 0.500
```

The structure with the least stability is 2).

1) Compound: In2B2W
Source: Alexandria
Functional: PBE
Structure: optimized geometry

Size of the total moment = 0.0 μB per cell

CIF file:
```
data_In2B2W
_chemical_formula_sum 'In4 B4 W2'
_cell_length_a 2.879
_cell_length_b 2.879
_cell_length_c 17.788
_cell_angle_alpha 90.00
_cell_angle_beta 90.00
_cell_angle_gamma 90.00
_symmetry_space_group_name_H-M 'I 4/m m m'
_symmetry_Int_Tables_number 139
_symmetry_space_group_name_Hall '-I 4 2'
loop_
_atom_site_label
_atom_site_type_symbol
_atom_site_fract_x
_atom_site_fract_y
_atom_site_fract_z
In1 In 0.000 0.000 0.125
B1 B 0.000 0.500 0.250
W1 W 0.000 0.000 0.500
```

2) Compound: In2B2W
Source: Alexandria
Functional: PBE
Structure: optimized geometry

Size of the total moment = 0.0 μB per cell

CIF file:
```
data_In2B2W
_chemical_formula_sum 'In4 B4 W2'
_cell_length_a 6.359
_cell_length_b 6.359
_cell_length_c 3.671
_cell_angle_alpha 90.00
_cell_angle_beta 90.00
_cell_angle_gamma 90.00
_symmetry_space_group_name_H-M 'P 4/m b m'
_symmetry_Int_Tables_number 127
_symmetry_space_group_name_Hall '-P 4 2ab'
loop_
_atom_site_label
_atom_site_type_symbol
_atom_site_fract_x
_atom_site_fract_y
_atom_site_fract_z
In1 In 0.153 0.347 0.000
B1 B 0.179 0.679 0.500
W1 W 0.000 0.000 0.500
```

The structure with the least stability is 1).

1) Compound: In2B2W
Source: Alexandria
Functional: PBE
Structure: optimized geometry

Size of the total moment = 0.0 μB per cell

CIF file:
```
data_In2B2W
_chemical_formula_sum 'In4 B4 W2'
_cell_length_a 7.150
_cell_length_b 7.150
_cell_length_c 3.040
_cell_angle_alpha 90.00
_cell_angle_beta 90.00
_cell_angle_gamma 90.00
_symmetry_space_group_name_H-M 'P 4/m b m'
_symmetry_Int_Tables_number 127
_symmetry_space_group_name_Hall '-P 4 2ab'
loop_
_atom_site_label
_atom_site_type_symbol
_atom_site_fract_x
_atom_site_fract_y
_atom_site_fract_z
In1 In 0.137 0.363 0.000
B1 B 0.171 0.671 0.500
W1 W 0.000 0.000 0.000
```

2) Compound: In2B2W
Source: Alexandria
Functional: PBE
Structure: optimized geometry

Size of the total moment = 2.4 μB per cell

CIF file:
```
data_In2B2W
_chemical_formula_sum 'In4 B4 W2'
_cell_length_a 3.923
_cell_length_b 3.923
_cell_length_c 9.751
_cell_angle_alpha 90.00
_cell_angle_beta 90.00
_cell_angle_gamma 90.00
_symmetry_space_group_name_H-M 'I 4/m m m'
_symmetry_Int_Tables_number 139
_symmetry_space_group_name_Hall '-I 4 2'
loop_
_atom_site_label
_atom_site_type_symbol
_atom_site_fract_x
_atom_site_fract_y
_atom_site_fract_z
In1 In 0.000 0.500 0.250
B1 B 0.000 0.000 0.082
W1 W 0.000 0.000 0.500
```

The structure with the least stability is 1).

1) Compound: In3BW
Source: Alexandria
Functional: PBE
Structure: optimized geometry

Size of the total moment = 0.0 μB per cell

CIF file:
```
data_In3BW
_chemical_formula_sum 'In3 B1 W1'
_cell_length_a 5.300
_cell_length_b 5.300
_cell_length_c 5.300
_cell_angle_alpha 90.00
_cell_angle_beta 90.00
_cell_angle_gamma 90.00
_symmetry_space_group_name_H-M 'P m -3 m'
_symmetry_Int_Tables_number 221
_symmetry_space_group_name_Hall '-P 4 2 3'
loop_
_atom_site_label
_atom_site_type_symbol
_atom_site_fract_x
_atom_site_fract_y
_atom_site_fract_z
In1 In 0.000 0.000 0.500
B1 B 0.500 0.500 0.500
W1 W 0.000 0.000 0.000
```

2) Compound: In3BW
Source: Alexandria
Functional: PBE
Structure: optimized geometry

Size of the total moment = 2.7 μB per cell

CIF file:
```
data_In3BW
_chemical_formula_sum 'In3 B1 W1'
_cell_length_a 4.687
_cell_length_b 4.687
_cell_length_c 4.687
_cell_angle_alpha 90.00
_cell_angle_beta 90.00
_cell_angle_gamma 90.00
_symmetry_space_group_name_H-M 'P m -3 m'
_symmetry_Int_Tables_number 221
_symmetry_space_group_name_Hall '-P 4 2 3'
loop_
_atom_site_label
_atom_site_type_symbol
_atom_site_fract_x
_atom_site_fract_y
_atom_site_fract_z
In1 In 0.000 0.000 0.500
B1 B 0.000 0.000 0.000
W1 W 0.500 0.500 0.500
```

The structure with the least stability is 1).